No. 1
First-principles (PBE) data for crystalline Pm7HoSc2 at its relaxed geometry, as listed in Alexandria via LeMat-Bulk.

Values from the calculation:
V (Å³/atom): 38.522
Spin magnetization (μB/f.u.): 0.0

a b c (Å): 8.9661 15.3991 5.5801
angles (deg): 90.00 90.00 90.00
Closest atoms and distances in Å follow each position.
Space group Cmmm (No. 65)
Unique sites:
1 Pm 0.0000 0.0000 0.0000 [2 per cell]  2 Sc 3.13, 4 Pm 3.40
2 Pm 0.0000 0.2539 0.5000 [4 per cell]  2 Sc 2.90
3 Pm 0.1827 0.3794 0.0000 [8 per cell]  2 Sc 3.12-3.16, 2 Pm 3.28-3.40
4 Ho 0.0000 0.5000 0.5000 [2 per cell]  10 Pm 3.73-3.79
5 Sc 0.0000 0.2036 0.0000 [4 per cell]  7 Pm 2.90-3.16


No. 2
First-principles (PBE) data for crystalline Pm2Ho2Sc3 at its relaxed geometry, as listed in Alexandria via LeMat-Bulk.

Values from the calculation:
V (Å³/atom): 29.679
Spin magnetization (μB/f.u.): 0.0
Distance to the lowest polymorph of the same formula (kcal/mol of atoms): 0.00

a b c (Å): 16.9279 3.3986 8.2609
angles (deg): 90.00 119.04 90.00
Closest atoms and distances in Å follow each position.
Space group C2/m (No. 12)
Unique sites:
1 Pm 0.0697 0.0000 0.2320 [4 per cell]  5 Sc 3.28-3.42, 3 Pm 3.39-3.40, 2 Ho 3.55
2 Ho 0.1504 0.5000 0.9633 [4 per cell]  4 Ho 3.40-3.55, 4 Sc 3.42-3.52, 4 Pm 3.55-3.68
3 Sc 0.0000 0.5000 0.5000 [2 per cell]  4 Sc 3.22-3.40, 2 Ho 3.42, 4 Pm 3.42
4 Sc 0.2119 0.5000 0.6202 [4 per cell]  5 Sc 3.22-3.40, 3 Pm 3.28-3.39, 3 Ho 3.46-3.52


No. 3
First-principles (PBE) data for crystalline Pm2Ho5Sc2 at its relaxed geometry, as listed in Alexandria via LeMat-Bulk.

Values from the calculation:
V (Å³/atom): 30.446
Spin magnetization (μB/f.u.): 0.0
Distance to the lowest polymorph of the same formula (kcal/mol of atoms): 0.00

a b c (Å): 5.6728 6.3471 8.7719
angles (deg): 83.25 71.34 66.32
Closest atoms and distances in Å follow each position.
Space group P-1 (No. 2)
Unique sites:
1 Pm 0.2291 0.2976 0.3519 [2 per cell]  4 Sc 3.24-3.42, 5 Ho 3.34-3.59, 1 Pm 3.46
2 Ho 0.0982 0.1366 0.7534 [2 per cell]  3 Sc 3.30-3.45, 4 Ho 3.42-3.61, 3 Pm 3.48-3.59
3 Ho 0.2480 0.5791 0.8785 [2 per cell]  2 Pm 3.34-3.67, 2 Sc 3.37-3.72, 5 Ho 3.38-3.61
4 Ho 0.5000 0.0000 0.0000 [1 per cell]  2 Pm 3.39, 6 Ho 3.43-3.76
5 Sc 0.3353 0.7517 0.4504 [2 per cell]  1 Sc 3.17, 4 Pm 3.24-3.42, 4 Ho 3.30-3.45


No. 4
First-principles (PBE) data for crystalline PmHoSc2 at its relaxed geometry, as listed in Alexandria via LeMat-Bulk.

Values from the calculation:
V (Å³/atom): 28.186
Spin magnetization (μB/f.u.): 0.0
Distance to the lowest polymorph of the same formula (kcal/mol of atoms): 0.18

a b c (Å): 3.4423 3.4423 32.9607
angles (deg): 90.00 90.00 120.00
Closest atoms and distances in Å follow each position.
Space group R-3m (No. 166, hexagonal axes)
Unique sites:
1 Pm 0.0000 0.0000 0.0000 [3 per cell]  6 Sc 3.41, 6 Pm 3.44
2 Ho 0.0000 0.0000 0.5000 [3 per cell]  6 Sc 3.37, 6 Ho 3.44
3 Sc 0.0000 0.0000 0.2491 [6 per cell]  3 Ho 3.37, 3 Pm 3.41, 6 Sc 3.44


No. 5
First-principles (PBE) data for crystalline Pm8Ho3Sc2 at its relaxed geometry, as listed in Alexandria via LeMat-Bulk.

Values from the calculation:
V (Å³/atom): 33.291
Spin magnetization (μB/f.u.): 0.0
Distance to the lowest polymorph of the same formula (kcal/mol of atoms): 0.00

a b c (Å): 5.6695 7.7520 10.5798
angles (deg): 111.45 90.01 90.00
Closest atoms and distances in Å follow each position.
Space group P-1 (No. 2)
Unique sites:
1 Pm 0.9998 0.0946 0.2794 [2 per cell]  1 Ho 3.16, 3 Pm 3.18-3.52, 2 Sc 3.36-3.42
2 Pm 0.0002 0.3157 0.7209 [2 per cell]  1 Ho 3.15, 3 Pm 3.18-3.52, 2 Sc 3.35-3.42
3 Pm 0.5004 0.1783 0.8568 [2 per cell]  2 Sc 3.26, 4 Pm 3.51-3.52
4 Pm 0.5001 0.3674 0.2348 [2 per cell]  2 Ho 3.43, 2 Sc 3.53, 5 Pm 3.67-3.72
5 Ho 0.0000 0.5000 0.5000 [1 per cell]  4 Pm 3.15-3.16
6 Ho 0.5000 0.2125 0.5001 [2 per cell]  3 Ho 3.29-3.61, 6 Pm 3.43-3.57
7 Sc 0.0004 0.2604 0.0209 [2 per cell]  8 Pm 3.26-3.53


No. 6
First-principles (PBE) data for crystalline Pm2Ho2Sc at its relaxed geometry, as listed in Alexandria via LeMat-Bulk.

Values from the calculation:
V (Å³/atom): 31.377
Spin magnetization (μB/f.u.): 0.0
Distance to the lowest polymorph of the same formula (kcal/mol of atoms): 0.00

a b c (Å): 3.5104 5.6289 31.7586
angles (deg): 90.00 90.00 90.00
Closest atoms and distances in Å follow each position.
Space group Imma (No. 74)
Unique sites:
1 Pm 0.0000 0.2500 0.1866 [4 per cell]  6 Pm 3.37-3.51, 2 Ho 3.60
2 Pm 0.0000 0.2500 0.7060 [4 per cell]  8 Pm 3.30-3.51, 2 Ho 3.36
3 Ho 0.0000 0.2500 0.8842 [4 per cell]  1 Ho 3.05, 2 Pm 3.36
4 Ho 0.0000 0.2500 0.9803 [4 per cell]  3 Ho 3.05-3.08
5 Sc 0.0000 0.2500 0.4263 [4 per cell]  10 Ho 3.45-3.73, 2 Sc 3.51


No. 7
First-principles (PBE) data for crystalline Pm12HoSc7 at its relaxed geometry, as listed in Alexandria via LeMat-Bulk.

Values from the calculation:
V (Å³/atom): 30.915
Spin magnetization (μB/f.u.): 0.0

a b c (Å): 14.8301 14.8301 9.7387
angles (deg): 90.00 90.00 120.00
Closest atoms and distances in Å follow each position.
Space group R-3 (No. 148, hexagonal axes)
Unique sites:
1 Pm 0.0406 0.8464 0.2551 [18 per cell]  4 Sc 3.24-3.60, 3 Pm 3.31-3.61, 1 Ho 3.62
2 Pm 0.0436 0.7872 0.5816 [18 per cell]  4 Sc 3.23-3.61, 3 Pm 3.31-3.61
3 Ho 0.0000 0.0000 0.0000 [3 per cell]  6 Sc 3.30, 6 Pm 3.62
4 Sc 0.0000 0.0000 0.5000 [3 per cell]  12 Pm 3.55-3.61
5 Sc 0.0705 0.8268 0.9288 [18 per cell]  6 Pm 3.23-3.60, 1 Ho 3.30, 3 Sc 3.33-3.51


No. 8
First-principles (PBE) data for crystalline PmHoSc2 at its relaxed geometry, as listed in Alexandria via LeMat-Bulk.

Values from the calculation:
V (Å³/atom): 29.014
Spin magnetization (μB/f.u.): 0.0
Distance to the lowest polymorph of the same formula (kcal/mol of atoms): 2.75

a b c (Å): 6.6611 8.0767 8.6287
angles (deg): 90.00 90.02 90.00
Closest atoms and distances in Å follow each position.
Space group P2_1/c (No. 14)
Unique sites:
1 Pm 0.1271 0.0327 0.1815 [4 per cell]  6 Sc 3.25-3.39, 3 Ho 3.32-3.56, 1 Pm 3.60
2 Ho 0.3753 0.5203 0.3193 [4 per cell]  6 Sc 3.20-3.43, 3 Pm 3.32-3.56, 1 Ho 3.55
3 Sc 0.1291 0.6669 0.0092 [4 per cell]  4 Sc 3.17-3.40, 4 Pm 3.25-3.39, 2 Ho 3.35-3.43
4 Sc 0.3806 0.1665 0.4929 [4 per cell]  4 Sc 3.13-3.40, 4 Ho 3.20-3.42, 2 Pm 3.35-3.38


No. 9
First-principles (PBE) data for crystalline Pm6HoSc3 at its relaxed geometry, as listed in Alexandria via LeMat-Bulk.

Values from the calculation:
V (Å³/atom): 31.273
Spin magnetization (μB/f.u.): 0.0
Distance to the lowest polymorph of the same formula (kcal/mol of atoms): 0.00

a b c (Å): 9.5366 20.8151 6.3018
angles (deg): 90.00 90.00 90.00
Closest atoms and distances in Å follow each position.
Space group Cmc2_1 (No. 36)
Unique sites:
1 Pm 0.0000 0.0146 0.0000 [4 per cell]  2 Pm 3.21, 1 Ho 3.27, 2 Sc 3.34
2 Pm 0.0000 0.3019 0.9696 [4 per cell]  1 Sc 3.06, 1 Ho 3.37
3 Pm 0.1760 0.2812 0.4516 [8 per cell]  3 Sc 3.21-3.57, 3 Pm 3.36-3.54, 1 Ho 3.59
4 Pm 0.1787 0.4425 0.1874 [8 per cell]  3 Sc 3.27-3.52, 3 Pm 3.41-3.65
5 Ho 0.0000 0.1534 0.7582 [4 per cell]  4 Pm 3.27-3.59, 2 Sc 3.43
6 Sc 0.0000 0.4172 0.6696 [4 per cell]  3 Pm 3.06-3.38, 2 Sc 3.38
7 Sc 0.1672 0.1265 0.2840 [8 per cell]  2 Sc 3.19-3.38, 4 Pm 3.21-3.39, 1 Ho 3.43


No. 10
First-principles (PBE) data for crystalline Pm3HoSc3Se8 at its relaxed geometry, as listed in Alexandria via LeMat-Bulk.

Values from the calculation:
V (Å³/atom): 24.591
Spin magnetization (μB/f.u.): 0.0
Formation energy (no corrections) (eV per atom): -1.7745

a b c (Å): 7.9909 7.9909 20.0104
angles (deg): 90.00 90.00 120.00
Closest atoms and distances in Å follow each position.
Space group R-3m (No. 166, hexagonal axes)
Unique sites:
1 Pm 0.0000 0.5000 0.0000 [9 per cell]  6 Se 2.94-2.95
2 Ho 0.0000 0.0000 0.5000 [3 per cell]  6 Se 2.88
3 Sc 0.0000 0.5000 0.5000 [9 per cell]  6 Se 2.75
4 Se 0.0000 0.0000 0.2416 [6 per cell]  3 Sc 2.75, 3 Pm 2.95
5 Se 0.0153 0.5076 0.7545 [18 per cell]  2 Sc 2.75, 1 Ho 2.88, 2 Pm 2.94


No. 11
First-principles (PBE) data for crystalline Pm3HoSc2Se6 at its relaxed geometry, as listed in Alexandria via LeMat-Bulk.

Values from the calculation:
V (Å³/atom): 23.804
Spin magnetization (μB/f.u.): 0.0
Formation energy (no corrections) (eV per atom): -1.7283

a b c (Å): 6.9667 12.1246 7.1560
angles (deg): 90.00 109.06 90.00
Closest atoms and distances in Å follow each position.
Space group C2/m (No. 12)
Unique sites:
1 Pm 0.0000 0.0000 0.0000 [2 per cell]  6 Se 2.93-2.99
2 Pm 0.0000 0.3377 0.0000 [4 per cell]  6 Se 2.95-2.98
3 Ho 0.0000 0.5000 0.5000 [2 per cell]  6 Se 2.83-2.85
4 Sc 0.0000 0.1664 0.5000 [4 per cell]  6 Se 2.76-2.78
5 Se 0.2331 0.0000 0.7254 [4 per cell]  2 Sc 2.76, 1 Ho 2.83, 3 Pm 2.93-2.97
6 Se 0.2472 0.3291 0.7294 [8 per cell]  2 Sc 2.77-2.78, 1 Ho 2.85, 3 Pm 2.95-2.99


So what do the calculations give for raw total energy? Going down the list: -4.441, -5.227, -4.922, -5.436, -4.738, -4.804, -5.139, -5.325, -5.068, -6.155, -6.095 eV/atom.